[1]
Material: CsNa2F3
Method: DFT, PBE-GGA
State: optimized geometry

Cell: 3.478 6.110 10.065 Å, 90.00 90.00 90.00°
Fractional coordinates of all 12 atoms:
F 0.500 0.118 0.106
F 0.500 0.783 0.321
F 0.000 0.766 0.588
F 0.500 0.283 0.679
F 0.000 0.266 0.412
F 0.500 0.618 0.894
Na 0.000 0.008 0.255
Na 0.000 0.508 0.745
Na 0.500 0.013 0.518
Na 0.500 0.513 0.482
Cs 0.000 0.012 0.867
Cs 0.000 0.512 0.133

Properties
Formation energy from raw total energies, eV per atom: -2.602
Total moment, μB per formula unit: 0.13

***

[2]
Material: Cs4Na2F
Method: DFT, PBE-GGA
State: optimized geometry

Cell: 6.113 6.113 12.470 Å, 75.81 75.81 90.00°
Fractional coordinates of all 7 atoms:
Na 0.644 0.644 0.712
Na 0.356 0.356 0.288
Cs 0.000 0.500 0.000
Cs 0.167 0.167 0.667
Cs 0.500 0.000 0.000
Cs 0.833 0.833 0.333
F 0.000 0.000 0.000

Properties
Formation energy from raw total energies, eV per atom: -0.692
Total moment, μB per formula unit: 0.00